Compound: BaCa2ZnSn
Source: Alexandria via LeMat-Bulk
Functional: GGA-PBEsol
Structure: relaxed

```
BaCa2ZnSn
1.0
-5.391 0.687 2.274
0.715 -4.909 3.178
2.559 3.597 4.980
Zn Ca Ba Sn
1 2 1 1
Cartesian
-1.059 -0.312 5.216
0.358 -2.454 1.589
-2.696 0.343 1.137
1.279 1.799 2.490
0.000 0.000 0.000
```

Output
**Formation enthalpy at 0 K**: 0.059 eV per atom
**Symmetry**: P4/mmm (123)
**DFT total energy**: -2.39 eV per atom
**V**: 231.0 Å³/cell